Entry 1:
Entry from the Alexandria database: crystalline LiPrPb2 at its relaxed geometry (PBE).

For the uncorrected energy, the calculation gives -15.92 eV for the cell shown. The density of states at the Fermi level is 1.11 states/eV/f.u. The energy of formation comes out at -1.8 eV per formula unit.

It has space group P4/mmm (No. 123), with a = 4.8835 Å, b = 4.8835 Å, c = 4.6012 Å, α = 90.00°, β = 90.00° and γ = 90.00°. The asymmetric unit holds Li at (0.0000, 0.0000, 0.0000), Pr at (0.5000, 0.5000, 0.0000) and Pb at (0.0000, 0.5000, 0.5000).

=====

Entry 2:
Entry from the Alexandria database: crystalline LiPrPb3 at its relaxed geometry (PBE).

For the uncorrected energy, the calculation gives -38.30 eV for the cell shown. The density of states at the Fermi level is 2.50 states/eV/f.u. The energy of formation comes out at -1.3 eV per formula unit.

It has space group P6_3/mmc (No. 194), with a = 7.0942 Å, b = 7.0942 Å, c = 6.3774 Å, α = 90.00°, β = 90.00° and γ = 120.00°. The asymmetric unit holds Li at (0.0000, 0.0000, 0.0000), Pr at (0.3333, 0.6667, 0.2500) and Pb at (0.1865, 0.3730, 0.7500).

=====

Entry 3:
Entry from the Alexandria database: crystalline Li5Pr3Pb6 at its relaxed geometry (PBE).

For the uncorrected energy, the calculation gives -103.91 eV for the cell shown. The density of states at the Fermi level is 3.30 states/eV/f.u. The energy of formation comes out at -5.8 eV per formula unit.

It has space group Pmmn (No. 59, origin choice 2), with a = 4.8190 Å, b = 14.0026 Å, c = 10.5024 Å, α = 90.00°, β = 90.00° and γ = 90.00°. The asymmetric unit holds Li at (0.2500, 0.1006, 0.1106), Li at (0.2500, 0.6081, 0.4817), Li at (0.2500, 0.7500, 0.2385), Pr at (0.2500, 0.0471, 0.7475), Pr at (0.2500, 0.7500, 0.7610), Pb at (0.2500, 0.0909, 0.3661), Pb at (0.2500, 0.2500, 0.5749), Pb at (0.2500, 0.2500, 0.9446) and Pb at (0.2500, 0.5922, 0.0255).

=====

Entry 4:
Entry from the Alexandria database: crystalline LiPr2Pb at its relaxed geometry (PBE).

For the uncorrected energy, the calculation gives -16.05 eV for the cell shown. The density of states at the Fermi level is 4.49 states/eV/f.u. The energy of formation comes out at -0.9 eV per formula unit.

It has space group P4/mmm (No. 123), with a = 3.9190 Å, b = 3.9190 Å, c = 7.7311 Å, α = 90.00°, β = 90.00° and γ = 90.00°. The asymmetric unit holds Li at (0.0000, 0.0000, 0.0000), Pr at (0.5000, 0.5000, 0.2427) and Pb at (0.0000, 0.0000, 0.5000).